(1)
DFT (PBE) results for a geometry-optimized KLiAg2 structure.

a b c (Å): 5.639 5.639 3.080
angles (deg): 90.00 90.00 90.00
Positions (direct):
K 0.000 0.000 0.000
Li 0.500 0.500 0.000
Ag 0.000 0.500 0.500
Ag 0.500 0.000 0.500

Values from the calculation:
Energy above the lowest structure with this stoichiometry: 190 meV per atom
Crystal system: tetragonal
Symmetry: P4/mmm (123)
Formation energy: 0.140 eV per atom

***

(2)
DFT (PBE) results for a geometry-optimized KLiAg2 structure.

a b c (Å): 5.123 5.123 5.123
angles (deg): 60.00 60.00 60.00
Positions (direct):
K 0.000 0.000 0.000
Li 0.750 0.750 0.750
Ag 0.250 0.250 0.250
Ag 0.500 0.500 0.500

Values from the calculation:
Energy above the lowest structure with this stoichiometry: 181 meV per atom
Crystal system: cubic
Symmetry: F-43m (216)
Formation energy: 0.131 eV per atom

***

(3)
DFT (PBE) results for a geometry-optimized KLiAg2 structure.

a b c (Å): 4.732 4.732 6.535
angles (deg): 110.64 110.64 60.02
Positions (direct):
K 0.000 0.000 0.000
Li 0.500 0.500 0.500
Ag 0.187 0.187 0.562
Ag 0.813 0.813 0.438

Values from the calculation:
Energy above the lowest structure with this stoichiometry: 0 meV per atom
Crystal system: monoclinic
Symmetry: C2/m (12)
Formation energy: -0.050 eV per atom

***

(4)
DFT (PBE) results for a geometry-optimized KLi2MgAg structure.

a b c (Å): 5.266 5.266 5.334
angles (deg): 90.00 90.00 90.00
Positions (direct):
K 0.000 0.000 0.000
Li 0.000 0.500 0.500
Li 0.500 0.000 0.500
Mg 0.500 0.500 0.000
Ag 0.500 0.500 0.500

Values from the calculation:
Crystal system: tetragonal
Symmetry: P4/mmm (123)
Formation energy: 0.051 eV per atom

***

(5)
DFT (PBE) results for a geometry-optimized KLiMnAg2 structure.

a b c (Å): 5.200 5.200 5.132
angles (deg): 90.00 90.00 90.00
Positions (direct):
K 0.000 0.000 0.000
Li 0.500 0.500 0.000
Mn 0.500 0.500 0.500
Ag 0.000 0.500 0.500
Ag 0.500 0.000 0.500

Values from the calculation:
Energy above the lowest structure with this stoichiometry: 0 meV per atom
Crystal system: tetragonal
Symmetry: P4/mmm (123)
Formation energy: 0.470 eV per atom

***

(6)
DFT (PBE) results for a geometry-optimized KLiMnAg2 structure.

a b c (Å): 5.805 5.805 5.925
angles (deg): 90.00 90.00 90.00
Positions (direct):
K 0.000 0.000 0.000
Li 0.500 0.500 0.500
Mn 0.000 0.000 0.500
Ag 0.000 0.500 0.000
Ag 0.500 0.000 0.000

Values from the calculation:
Energy above the lowest structure with this stoichiometry: 805 meV per atom
Crystal system: tetragonal
Symmetry: P4/mmm (123)
Formation energy: 1.275 eV per atom

***

(7)
DFT (PBE) results for a geometry-optimized KLi2AgN structure.

a b c (Å): 4.346 4.346 5.361
angles (deg): 90.00 90.00 90.00
Positions (direct):
K 0.000 0.000 0.000
Li 0.000 0.500 0.500
Li 0.500 0.000 0.500
Ag 0.500 0.500 0.000
N 0.000 0.000 0.500

Values from the calculation:
Uncorrected formation energy: 0.23 eV/atom
Crystal system: tetragonal
Symmetry: P4/mmm (123)

***

(8)
DFT (PBE) results for a geometry-optimized KNa2LiAg structure.

a b c (Å): 5.749 5.749 5.121
angles (deg): 90.00 90.00 90.00
Positions (direct):
K 0.000 0.000 0.000
Na 0.000 0.500 0.500
Na 0.500 0.000 0.500
Li 0.500 0.500 0.500
Ag 0.500 0.500 0.000

Values from the calculation:
Energy above the lowest structure with this stoichiometry: 57 meV per atom
Crystal system: tetragonal
Symmetry: P4/mmm (123)
Formation energy: 0.111 eV per atom